Record 1
{"formula": "BeReTc2", "functional": "SCAN", "state": "single point on PBEsol structure", "lattice": [[1.462, -2.165, 0.000], [1.462, 2.165, 0.000], [0.000, 0.000, 8.268]], "species": ["Be", "Re", "Tc", "Tc"], "frac_coords": [[0.000, 0.000, 0.000], [0.500, 0.500, 0.766], [0.000, 0.000, 0.496], [0.500, 0.500, 0.229]], "delta_e_f_ev_per_atom": 0.134}

Record 2
{"formula": "TiTcW2I", "functional": "SCAN", "state": "single point on PBEsol structure", "lattice": [[4.786, 0.000, 0.000], [0.000, 4.786, 0.000], [0.000, 0.000, 4.651]], "species": ["Ti", "Tc", "W", "W", "I"], "frac_coords": [[0.000, 0.000, 0.000], [0.500, 0.500, 0.000], [0.000, 0.500, 0.500], [0.500, 0.000, 0.500], [0.500, 0.500, 0.500]], "e_form_raw_mev_per_atom": 2487.1}

Record 3
{"formula": "BaYHg2As", "functional": "SCAN", "state": "single point on PBEsol structure", "lattice": [[5.616, 0.000, 0.000], [0.000, 5.616, 0.000], [0.000, 0.000, 5.378]], "species": ["Ba", "Y", "Hg", "Hg", "As"], "frac_coords": [[0.000, 0.000, 0.000], [0.500, 0.500, 0.500], [0.000, 0.500, 0.500], [0.500, 0.000, 0.500], [0.500, 0.500, 0.000]], "delta_e_f_ev_per_atom": -0.566}

Record 4
{"formula": "K2InW", "functional": "SCAN", "state": "single point on PBEsol structure", "lattice": [[4.128, 0.000, 0.000], [0.000, 4.128, 0.000], [0.000, 0.000, 5.831]], "species": ["K", "K", "In", "W"], "frac_coords": [[0.000, 0.500, 0.000], [0.500, 0.000, 0.000], [0.000, 0.000, 0.500], [0.500, 0.500, 0.500]], "delta_e_f_ev_per_atom": 1.191}

Record 5
{"formula": "Ag2RuCl", "functional": "SCAN", "state": "single point on PBEsol structure", "lattice": [[-1.875, 1.875, 4.682], [1.875, -1.875, 4.682], [1.875, 1.875, -4.682]], "species": ["Ag", "Ag", "Ru", "Cl"], "frac_coords": [[0.250, 0.750, 0.500], [0.750, 0.250, 0.500], [0.000, 0.000, 0.000], [0.500, 0.500, 0.000]], "e_form_raw_mev_per_atom": 715.9}

Record 6
{"formula": "BeSiSeBr2", "functional": "SCAN", "state": "single point on PBEsol structure", "lattice": [[4.543, 0.000, 0.000], [0.000, 4.543, 0.000], [0.000, 0.000, 4.942]], "species": ["Be", "Si", "Se", "Br", "Br"], "frac_coords": [[0.000, 0.000, 0.000], [0.500, 0.500, 0.500], [0.000, 0.000, 0.500], [0.000, 0.500, 0.000], [0.500, 0.000, 0.000]], "e_form_raw_mev_per_atom": 196.3}

Record 7
{"formula": "Ca2SBrO", "functional": "SCAN", "state": "single point on PBEsol structure", "lattice": [[5.299, 0.000, 0.000], [0.000, 5.299, 0.000], [0.000, 0.000, 4.151]], "species": ["Ca", "Ca", "S", "Br", "O"], "frac_coords": [[0.000, 0.500, 0.000], [0.500, 0.000, 0.000], [0.000, 0.000, 0.500], [0.500, 0.500, 0.000], [0.500, 0.500, 0.500]], "e_form_raw_mev_per_atom": -1041.1}

Record 8
{"formula": "SnHg2Pb2", "functional": "SCAN", "state": "single point on PBEsol structure", "lattice": [[-2.037, 2.037, 8.408], [2.037, -2.037, 8.408], [2.037, 2.037, -8.408]], "species": ["Sn", "Hg", "Hg", "Pb", "Pb"], "frac_coords": [[0.000, 0.000, 0.000], [0.250, 0.750, 0.500], [0.750, 0.250, 0.500], [0.402, 0.402, 0.000], [0.598, 0.598, 0.000]], "delta_e_f_ev_per_atom": 0.100}

Record 9
{"formula": "TiCoIr3", "functional": "SCAN", "state": "single point on PBEsol structure", "lattice": [[4.473, 0.000, 0.000], [0.000, 4.473, 0.000], [0.000, 0.000, 4.473]], "species": ["Ti", "Co", "Ir", "Ir", "Ir"], "frac_coords": [[0.000, 0.000, 0.000], [0.500, 0.500, 0.500], [0.000, 0.000, 0.500], [0.000, 0.500, 0.000], [0.500, 0.000, 0.000]], "delta_e_f_ev_per_atom": 1.442}

Record 10
{"formula": "YCuN2O", "functional": "SCAN", "state": "single point on PBEsol structure", "lattice": [[3.697, 0.000, 0.000], [0.000, 3.697, 0.000], [0.000, 0.000, 3.859]], "species": ["Y", "Cu", "N", "N", "O"], "frac_coords": [[0.000, 0.000, 0.000], [0.500, 0.500, 0.500], [0.000, 0.500, 0.500], [0.500, 0.000, 0.500], [0.500, 0.500, 0.000]], "e_form_raw_mev_per_atom": -437.1}

Record 11
{"formula": "GdTiGe", "functional": "SCAN", "state": "single point on PBEsol structure", "lattice": [[-2.000, 2.000, 7.738], [2.000, -2.000, 7.738], [2.000, 2.000, -7.738]], "species": ["Gd", "Gd", "Ti", "Ti", "Ge", "Ge"], "frac_coords": [[0.176, 0.176, 0.000], [0.824, 0.824, 0.000], [0.000, 0.500, 0.500], [0.500, 0.000, 0.500], [0.380, 0.380, 0.000], [0.620, 0.620, 0.000]], "delta_e_f_ev_per_atom": -0.804}

Record 12
{"formula": "Ta4CoP", "functional": "SCAN", "state": "single point on PBEsol structure", "lattice": [[6.080, 0.000, 0.000], [0.000, 6.080, 0.000], [0.000, 0.000, 4.933]], "species": ["Ta", "Ta", "Ta", "Ta", "Ta", "Ta", "Ta", "Ta", "Co", "Co", "P", "P"], "frac_coords": [[0.157, 0.332, 0.000], [0.157, 0.668, 0.500], [0.332, 0.157, 0.500], [0.332, 0.843, 0.000], [0.668, 0.157, 0.000], [0.668, 0.843, 0.500], [0.843, 0.332, 0.500], [0.843, 0.668, 0.000], [0.000, 0.000, 0.250], [0.000, 0.000, 0.750], [0.500, 0.500, 0.250], [0.500, 0.500, 0.750]], "delta_e_f_ev_per_atom": -0.461}

Record 13
{"formula": "Ce9YO20", "functional": "SCAN", "state": "single point on PBEsol structure", "lattice": [[6.603, 0.000, 0.000], [-2.201, 7.299, 0.000], [-1.101, -2.321, 8.126]], "species": ["Ce", "Ce", "Ce", "Ce", "Ce", "Ce", "Ce", "Ce", "Ce", "Y", "O", "O", "O", "O", "O", "O", "O", "O", "O", "O", "O", "O", "O", "O", "O", "O", "O", "O", "O", "O"], "frac_coords": [[0.000, 0.000, 0.000], [0.199, 0.899, 0.398], [0.200, 0.400, 0.398], [0.397, 0.799, 0.801], [0.400, 0.301, 0.801], [0.600, 0.699, 0.199], [0.603, 0.201, 0.199], [0.800, 0.600, 0.602], [0.801, 0.101, 0.602], [0.000, 0.500, 0.000], [0.050, 0.223, 0.849], [0.050, 0.727, 0.849], [0.149, 0.674, 0.549], [0.150, 0.175, 0.549], [0.252, 0.125, 0.249], [0.252, 0.626, 0.251], [0.351, 0.075, 0.951], [0.352, 0.576, 0.949], [0.449, 0.024, 0.650], [0.449, 0.525, 0.649], [0.551, 0.475, 0.351], [0.551, 0.976, 0.350], [0.648, 0.424, 0.051], [0.649, 0.925, 0.049], [0.748, 0.374, 0.749], [0.748, 0.875, 0.751], [0.850, 0.825, 0.451], [0.851, 0.326, 0.451], [0.950, 0.273, 0.151], [0.950, 0.777, 0.151]], "e_form_raw_mev_per_atom": -3695.4}

Record 14
{"formula": "SnRuSCl2", "functional": "SCAN", "state": "single point on PBEsol structure", "lattice": [[4.738, 0.000, 0.000], [0.000, 4.738, 0.000], [0.000, 0.000, 4.535]], "species": ["Sn", "Ru", "S", "Cl", "Cl"], "frac_coords": [[0.000, 0.000, 0.000], [0.500, 0.500, 0.500], [0.500, 0.500, 0.000], [0.000, 0.500, 0.500], [0.500, 0.000, 0.500]], "e_form_raw_mev_per_atom": -132.2}

Record 15
{"formula": "ScCo2TeF", "functional": "SCAN", "state": "single point on PBEsol structure", "lattice": [[4.190, 0.000, 0.000], [0.000, 4.190, 0.000], [0.000, 0.000, 4.140]], "species": ["Sc", "Co", "Co", "Te", "F"], "frac_coords": [[0.000, 0.000, 0.000], [0.000, 0.500, 0.500], [0.500, 0.000, 0.500], [0.500, 0.500, 0.000], [0.000, 0.000, 0.500]], "e_form_raw_mev_per_atom": -526.2}

Record 16
{"formula": "Hf3CoPt", "functional": "SCAN", "state": "single point on PBEsol structure", "lattice": [[4.619, 0.000, 0.000], [0.000, 4.619, 0.000], [0.000, 0.000, 4.619]], "species": ["Hf", "Hf", "Hf", "Co", "Pt"], "frac_coords": [[0.000, 0.000, 0.500], [0.000, 0.500, 0.000], [0.500, 0.000, 0.000], [0.000, 0.000, 0.000], [0.500, 0.500, 0.500]], "delta_e_f_ev_per_atom": -0.015}

Record 17
{"formula": "MoRhSeN2", "functional": "SCAN", "state": "single point on PBEsol structure", "lattice": [[3.793, 0.000, 0.000], [0.000, 3.793, 0.000], [0.000, 0.000, 5.207]], "species": ["Mo", "Rh", "Se", "N", "N"], "frac_coords": [[0.000, 0.000, 0.000], [0.500, 0.500, 0.500], [0.000, 0.000, 0.500], [0.000, 0.500, 0.000], [0.500, 0.000, 0.000]], "e_form_raw_mev_per_atom": 661.1}

Record 18
{"formula": "FeHgRu", "functional": "SCAN", "state": "single point on PBEsol structure", "lattice": [[2.776, 0.000, 0.000], [-1.388, 2.404, 0.000], [0.000, 0.000, 6.625]], "species": ["Fe", "Hg", "Ru"], "frac_coords": [[0.000, 0.000, 0.000], [0.333, 0.667, 0.652], [0.667, 0.333, 0.281]], "delta_e_f_ev_per_atom": 0.435}

Record 19
{"formula": "Ba2MgAl", "functional": "SCAN", "state": "single point on PBEsol structure", "lattice": [[1.994, 1.151, 11.146], [-1.994, 1.151, 11.146], [0.000, -2.303, 11.146]], "species": ["Ba", "Ba", "Mg", "Al"], "frac_coords": [[0.243, 0.243, 0.243], [0.757, 0.757, 0.757], [0.000, 0.000, 0.000], [0.500, 0.500, 0.500]], "delta_e_f_ev_per_atom": 0.208}

Record 20
{"formula": "BaPtPb2", "functional": "SCAN", "state": "single point on PBEsol structure", "lattice": [[3.018, -4.324, 0.000], [3.018, 4.324, 0.000], [0.000, 0.000, 4.622]], "species": ["Ba", "Pt", "Pb", "Pb"], "frac_coords": [[0.000, 0.000, 0.000], [0.500, 0.500, 0.000], [0.320, 0.680, 0.500], [0.680, 0.320, 0.500]], "delta_e_f_ev_per_atom": -0.661}

Record 21
{"formula": "TaP2Pt", "functional": "SCAN", "state": "single point on PBEsol structure", "lattice": [[3.200, 0.000, 0.000], [0.000, 3.196, 0.000], [-1.448, 0.000, 5.952]], "species": ["Ta", "P", "P", "Pt"], "frac_coords": [[0.000, 0.000, 0.000], [0.419, 0.500, 0.778], [0.581, 0.500, 0.222], [0.500, 0.000, 0.500]], "delta_e_f_ev_per_atom": -0.360}

Record 22
{"formula": "CrCo2Rh", "functional": "SCAN", "state": "single point on PBEsol structure", "lattice": [[1.382, -2.066, 0.000], [1.382, 2.066, 0.000], [0.000, 0.000, 8.139]], "species": ["Cr", "Co", "Co", "Rh"], "frac_coords": [[0.000, 0.000, 0.000], [0.500, 0.500, 0.238], [0.500, 0.500, 0.762], [0.000, 0.000, 0.500]], "delta_e_f_ev_per_atom": 0.194}

Record 23
{"formula": "YSiNi", "functional": "SCAN", "state": "single point on PBEsol structure", "lattice": [[3.995, 0.000, 0.000], [-1.998, 3.460, 0.000], [0.000, 0.000, 3.776]], "species": ["Y", "Si", "Ni"], "frac_coords": [[0.000, 0.000, 0.000], [0.667, 0.333, 0.500], [0.333, 0.667, 0.500]], "e_form_raw_mev_per_atom": -811.0}

Record 24
{"formula": "BTeAs3", "functional": "SCAN", "state": "single point on PBEsol structure", "lattice": [[5.241, 0.000, 0.000], [0.000, 5.241, 0.000], [0.000, 0.000, 5.241]], "species": ["B", "Te", "As", "As", "As"], "frac_coords": [[0.000, 0.000, 0.000], [0.500, 0.500, 0.500], [0.000, 0.500, 0.500], [0.500, 0.000, 0.500], [0.500, 0.500, 0.000]], "e_form_raw_mev_per_atom": 1986.2}

Record 25
{"formula": "HfNi3Cl", "functional": "SCAN", "state": "single point on PBEsol structure", "lattice": [[4.143, 0.000, 0.000], [0.000, 4.143, 0.000], [0.000, 0.000, 4.143]], "species": ["Hf", "Ni", "Ni", "Ni", "Cl"], "frac_coords": [[0.000, 0.000, 0.000], [0.000, 0.500, 0.500], [0.500, 0.000, 0.500], [0.500, 0.500, 0.000], [0.500, 0.500, 0.500]], "e_form_raw_mev_per_atom": 536.6}

Record 26
{"formula": "Ru2PtW", "functional": "SCAN", "state": "single point on PBEsol structure", "lattice": [[2.708, 0.000, 0.000], [0.000, 3.869, 0.000], [0.000, 0.000, 5.452]], "species": ["Ru", "Ru", "Pt", "W"], "frac_coords": [[0.000, 0.000, 0.000], [0.500, 0.500, 0.216], [0.500, 0.500, 0.730], [0.000, 0.000, 0.468]], "delta_e_f_ev_per_atom": -0.104}

Record 27
{"formula": "Ca2LaSe", "functional": "SCAN", "state": "single point on PBEsol structure", "lattice": [[3.618, 0.000, 0.000], [0.000, 3.618, 0.000], [0.000, 0.000, 9.296]], "species": ["Ca", "Ca", "La", "Se"], "frac_coords": [[0.000, 0.000, 0.183], [0.000, 0.000, 0.817], [0.500, 0.500, 0.500], [0.500, 0.500, 0.000]], "e_form_raw_mev_per_atom": -882.0}